1.
Material: Rb4Ho3AlS8
Method: DFT, PBE
State: optimized geometry

a = 8.937 Å, b = 8.937 Å, c = 8.937 Å
α = 52.86°, β = 52.86°, γ = 52.86°
Atoms (fractional coordinates):
Rb: 0.000 0.000 0.000
Rb: 0.000 0.500 0.500
Rb: 0.500 0.000 0.500
Rb: 0.500 0.500 0.000
Ho: 0.000 0.000 0.500
Ho: 0.000 0.500 0.000
Ho: 0.500 0.000 0.000
Al: 0.500 0.500 0.500
S: 0.231 0.231 0.231
S: 0.249 0.717 0.717
S: 0.283 0.283 0.751
S: 0.283 0.751 0.283
S: 0.717 0.249 0.717
S: 0.717 0.717 0.249
S: 0.751 0.283 0.283
S: 0.769 0.769 0.769

Energy relative to the elements, uncorrected: -1625.1 meV/atom


2.
Material: Rb3Ho3AlSe8
Method: DFT, PBE
State: optimized geometry

a = 9.503 Å, b = 9.503 Å, c = 9.503 Å
α = 50.72°, β = 50.72°, γ = 50.72°
Atoms (fractional coordinates):
Rb: 0.000 0.500 0.500
Rb: 0.500 0.000 0.500
Rb: 0.500 0.500 0.000
Ho: 0.000 0.000 0.500
Ho: 0.000 0.500 0.000
Ho: 0.500 0.000 0.000
Al: 0.500 0.500 0.500
Se: 0.232 0.232 0.232
Se: 0.251 0.716 0.716
Se: 0.284 0.284 0.749
Se: 0.284 0.749 0.284
Se: 0.716 0.251 0.716
Se: 0.716 0.716 0.251
Se: 0.749 0.284 0.284
Se: 0.768 0.768 0.768

Energy relative to the elements, uncorrected: -1448.9 meV/atom


3.
Material: RbHoAlTe4
Method: DFT, PBE
State: optimized geometry

a = 7.632 Å, b = 6.593 Å, c = 10.426 Å
α = 90.00°, β = 107.15°, γ = 90.00°
Atoms (fractional coordinates):
Rb: 0.244 0.250 0.053
Rb: 0.756 0.750 0.947
Ho: 0.255 0.250 0.553
Ho: 0.745 0.750 0.447
Al: 0.260 0.750 0.333
Al: 0.740 0.250 0.667
Te: 0.019 0.509 0.704
Te: 0.019 0.991 0.704
Te: 0.434 0.750 0.587
Te: 0.449 0.750 0.167
Te: 0.551 0.250 0.833
Te: 0.566 0.250 0.413
Te: 0.981 0.009 0.296
Te: 0.981 0.491 0.296

Energy relative to the elements, uncorrected: -899.1 meV/atom


4.
Material: HoAl2Re
Method: DFT, PBE
State: optimized geometry

a = 9.530 Å, b = 9.530 Å, c = 9.530 Å
α = 18.31°, β = 18.31°, γ = 18.31°
Atoms (fractional coordinates):
Ho: 0.000 0.000 0.000
Al: 0.237 0.237 0.237
Al: 0.763 0.763 0.763
Re: 0.500 0.500 0.500

Uncorrected energy: -24.16 eV for the cell shown


5.
Material: Ho2Al3Re
Method: DFT, PBE
State: optimized geometry

a = 5.433 Å, b = 5.433 Å, c = 5.433 Å
α = 60.90°, β = 60.90°, γ = 60.90°
Atoms (fractional coordinates):
Ho: 0.128 0.128 0.128
Ho: 0.872 0.872 0.872
Al: 0.000 0.500 0.500
Al: 0.500 0.000 0.500
Al: 0.500 0.500 0.000
Re: 0.500 0.500 0.500

Uncorrected energy: -35.39 eV for the cell shown


6.
Material: Ho2AlRe
Method: DFT, PBE
State: optimized geometry

a = 10.877 Å, b = 10.877 Å, c = 10.877 Å
α = 16.13°, β = 16.13°, γ = 16.13°
Atoms (fractional coordinates):
Ho: 0.087 0.087 0.087
Ho: 0.913 0.913 0.913
Al: 0.500 0.500 0.500
Re: 0.000 0.000 0.000

Uncorrected energy: -22.95 eV for the cell shown